1.
This record from Alexandria describes crystalline TbPuS2O at its relaxed geometry. The functional is PBE. Values from VASP.

## Properties
calculated density: 7.8 g cm⁻³
density of states at the Fermi level: 6.20 states/eV/f.u.
E: -8.7601 eV/atom
size of the total moment: 9.48 Bohr magnetons per cell

Structure (Quantum ESPRESSO input):
```
&SYSTEM
  ibrav = 0, nat = 10, ntyp = 4
/
ATOMIC_SPECIES
Tb 158.93 Tb.upf
Pu 244.00 Pu.upf
S 32.06 S.upf
O 16.00 O.upf
CELL_PARAMETERS angstrom
3.8651 0.0000 0.0000
0.0000 3.8651 0.0000
0.0000 0.0000 13.7913
ATOMIC_POSITIONS angstrom
Tb 0.9663 0.9663 1.6539
Tb 2.8988 2.8988 12.1374
Pu 0.9663 0.9663 8.1473
Pu 2.8988 2.8988 5.6440
S 0.9663 0.9663 4.2628
S 0.9663 0.9663 12.5123
S 2.8988 2.8988 1.2789
S 2.8988 2.8988 9.5284
O 0.9663 2.8988 6.8956
O 2.8988 0.9663 6.8956
```



2.
This record from Alexandria describes crystalline Ce2YTm3As6 at its relaxed geometry. The functional is PBE. Values from VASP.

## Properties
calculated density: 7.4 g cm⁻³
E_form: -1.49 eV per atom
density of states at the Fermi level: 11.64 states/eV/f.u.
E: -6.4557 eV/atom
size of the total moment: 1.26 Bohr magnetons per cell

Structure (Quantum ESPRESSO input):
```
&SYSTEM
  ibrav = 0, nat = 12, ntyp = 4
/
ATOMIC_SPECIES
Ce 140.12 Ce.upf
Y 88.91 Y.upf
Tm 168.93 Tm.upf
As 74.92 As.upf
CELL_PARAMETERS angstrom
8.9780 -2.0649 0.0000
8.9780 2.0649 0.0000
-1.8747 0.0000 8.0295
ATOMIC_POSITIONS angstrom
Ce 2.3544 0.0000 2.6622
Ce 13.7269 0.0000 5.3673
Y 8.9780 0.0000 0.0000
Tm 1.4236 0.0000 6.6984
Tm 8.0406 0.0000 4.0148
Tm 14.6576 0.0000 1.3311
As -1.3703 0.0000 6.0059
As 4.2435 0.0000 7.4006
As 5.2428 0.0000 3.3090
As 10.8384 0.0000 4.7205
As 11.8378 0.0000 0.6289
As 17.4516 0.0000 2.0236
```



3.
This record from Alexandria describes crystalline Ag3Pd8Pt at its relaxed geometry. The functional is PBE. Values from VASP.

## Properties
calculated density: 9.4 g cm⁻³
E_form: 0.58 eV per atom
density of states at the Fermi level: 19.39 states/eV/f.u.
E: -4.1027 eV/atom
size of the total moment: 0.00 Bohr magnetons per cell

Structure (Quantum ESPRESSO input):
```
&SYSTEM
  ibrav = 0, nat = 12, ntyp = 3
/
ATOMIC_SPECIES
Ag 107.87 Ag.upf
Pd 106.42 Pd.upf
Pt 195.08 Pt.upf
CELL_PARAMETERS angstrom
-3.5746 3.5746 4.7319
3.5746 -3.5746 4.7319
3.5746 3.5746 -4.7319
ATOMIC_POSITIONS angstrom
Ag 0.0000 0.0000 0.0000
Ag 3.5746 0.0000 2.3659
Ag 0.0000 3.5746 2.3659
Pd 2.6221 2.6221 -2.1943
Pd 1.7458 -1.7458 4.4287
Pd 1.8289 1.8289 0.3032
Pd 0.9526 0.9526 2.5376
Pd 0.9526 -0.9526 6.9261
Pd -1.7458 1.7458 4.4287
Pd 1.7458 1.7458 5.0351
Pd -0.9526 0.9526 6.9261
Pt 0.0000 0.0000 4.7319
```



4.
This record from Alexandria describes crystalline Nd2SnBi at its relaxed geometry. The functional is PBE. Values from VASP.

## Properties
calculated density: 8.6 g cm⁻³
E_form: -0.66 eV per atom
density of states at the Fermi level: 4.03 states/eV/f.u.
E: -5.0153 eV/atom
size of the total moment: 0.00 Bohr magnetons per cell
relative energy among the computed polymorphs: 190 meV per atom

Structure (Quantum ESPRESSO input):
```
&SYSTEM
  ibrav = 0, nat = 4, ntyp = 3
/
ATOMIC_SPECIES
Nd 144.24 Nd.upf
Sn 118.71 Sn.upf
Bi 208.98 Bi.upf
CELL_PARAMETERS angstrom
5.1305 0.0000 0.0000
0.0000 5.1305 0.0000
0.0000 0.0000 4.5269
ATOMIC_POSITIONS angstrom
Nd 0.0000 2.5653 0.0000
Nd 2.5653 0.0000 0.0000
Sn 0.0000 0.0000 2.2635
Bi 2.5653 2.5653 2.2635
```



5.
This record from Alexandria describes crystalline NdGa2SbO8 at its relaxed geometry. The functional is PBE. Values from VASP.

## Properties
calculated density: 5.6 g cm⁻³
density of states at the Fermi level: 8.80 states/eV/f.u.
E: -6.0853 eV/atom
size of the total moment: 2.07 Bohr magnetons per cell

Structure (Quantum ESPRESSO input):
```
&SYSTEM
  ibrav = 0, nat = 12, ntyp = 4
/
ATOMIC_SPECIES
Nd 144.24 Nd.upf
Ga 69.72 Ga.upf
Sb 121.76 Sb.upf
O 16.00 O.upf
CELL_PARAMETERS angstrom
-3.4367 3.4367 3.3556
3.4367 -3.4367 3.3556
3.4367 3.4367 -3.3556
ATOMIC_POSITIONS angstrom
Nd 0.0000 0.0000 0.0000
Ga 3.4367 0.0000 1.6778
Ga 0.0000 0.0000 3.3556
Sb 0.0000 3.4367 1.6778
O 2.2945 0.0000 0.2474
O 4.5789 0.0000 0.2474
O 3.4367 2.0563 -1.2836
O 3.4367 -1.1422 3.1082
O 0.0000 1.3804 2.0720
O 3.4367 1.1422 3.1082
O 2.0563 3.4367 1.2836
O 1.3804 0.0000 4.6392
```



6.
This record from Alexandria describes crystalline Tb2HfNi at its relaxed geometry. The functional is PBE. Values from VASP.

## Properties
calculated density: 10.0 g cm⁻³
E_form: -0.07 eV per atom
density of states at the Fermi level: 4.32 states/eV/f.u.
E: -6.3213 eV/atom
size of the total moment: 0.00 Bohr magnetons per cell
relative energy among the computed polymorphs: 0 meV per atom

Structure (Quantum ESPRESSO input):
```
&SYSTEM
  ibrav = 0, nat = 4, ntyp = 3
/
ATOMIC_SPECIES
Tb 158.93 Tb.upf
Hf 178.49 Hf.upf
Ni 58.69 Ni.upf
CELL_PARAMETERS angstrom
3.4067 0.0000 0.0000
0.0000 3.4067 0.0000
0.0000 0.0000 7.9181
ATOMIC_POSITIONS angstrom
Tb 0.0000 0.0000 1.6638
Tb 0.0000 0.0000 6.2543
Hf 1.7034 1.7034 3.9591
Ni 1.7034 1.7034 0.0000
```



7.
This record from Alexandria describes crystalline Ta4MoW at its relaxed geometry. The functional is PBE. Values from VASP.

## Properties
calculated density: 13.5 g cm⁻³
E_form: 0.64 eV per atom
density of states at the Fermi level: 5.10 states/eV/f.u.
E: -11.2291 eV/atom
size of the total moment: 0.00 Bohr magnetons per cell
relative energy among the computed polymorphs: 752 meV per atom

Structure (Quantum ESPRESSO input):
```
&SYSTEM
  ibrav = 0, nat = 6, ntyp = 3
/
ATOMIC_SPECIES
Ta 180.95 Ta.upf
Mo 95.94 Mo.upf
W 183.84 W.upf
CELL_PARAMETERS angstrom
4.4438 0.0000 0.0000
0.0000 4.4438 0.0000
0.0000 0.0000 6.2462
ATOMIC_POSITIONS angstrom
Ta 0.0000 2.2219 1.5582
Ta 0.0000 2.2219 4.6879
Ta 2.2219 0.0000 1.5582
Ta 2.2219 0.0000 4.6879
Mo 0.0000 0.0000 0.0000
W 2.2219 2.2219 3.1231
```



8.
This record from Alexandria describes crystalline Ac3As3Rh2 at its relaxed geometry. The functional is PBE. Values from VASP.

## Properties
calculated density: 9.1 g cm⁻³
E_form: -1.08 eV per atom
density of states at the Fermi level: 2.17 states/eV/f.u.
E: -6.2027 eV/atom
size of the total moment: 0.00 Bohr magnetons per cell

Structure (Quantum ESPRESSO input):
```
&SYSTEM
  ibrav = 0, nat = 16, ntyp = 3
/
ATOMIC_SPECIES
Ac 227.00 Ac.upf
As 74.92 As.upf
Rh 102.91 Rh.upf
CELL_PARAMETERS angstrom
2.2126 -5.7350 0.0000
2.2126 5.7350 0.0000
0.0000 0.0000 15.9736
ATOMIC_POSITIONS angstrom
Ac 2.2126 4.8174 11.9802
Ac 2.2126 1.6062 9.4581
Ac 2.2126 1.6062 14.5023
Ac 2.2126 -1.6062 1.4713
Ac 2.2126 -1.6062 6.5155
Ac 2.2126 -4.8174 3.9934
As 2.2126 4.6873 8.8018
As 2.2126 4.6873 15.1585
As 2.2126 3.3516 3.9934
As 2.2126 -3.3516 11.9802
As 2.2126 -4.6873 0.8151
As 2.2126 -4.6873 7.1717
Rh 2.2126 1.5970 1.9116
Rh 2.2126 1.5970 6.0752
Rh 2.2126 -1.5970 9.8984
Rh 2.2126 -1.5970 14.0620
```



Question: The lowest E belongs to which entry?
Answer: Ta4MoW